# ZnFeGe2Rh | Alexandria via LeMat-Bulk | PBE-GGA | relaxed
# ΔE_f (kJ/mol of formula units): 217
data_ZnFeGe2Rh
_symmetry_space_group_name_H-M 'P 1'
_symmetry_Int_Tables_number 1
_symmetry_space_group_name_Hall 'P 1'
_cell_length_a 4.372
_cell_length_b 4.372
_cell_length_c 4.540
_cell_angle_alpha 90.00
_cell_angle_beta 90.00
_cell_angle_gamma 90.00
loop_
_atom_site_label
_atom_site_fract_x
_atom_site_fract_y
_atom_site_fract_z
_atom_site_occupancy
Zn1 0.000 0.000 0.000 1
Fe1 0.000 0.000 0.500 1
Ge1 0.000 0.500 0.500 1
Ge2 0.500 0.000 0.500 1
Rh1 0.500 0.500 0.000 1



# LiSc3Pt2 | Alexandria via LeMat-Bulk | PBE-GGA | relaxed
# ΔE_f (kJ/mol of formula units): -534
data_LiSc3Pt2
_symmetry_space_group_name_H-M 'P 1'
_symmetry_Int_Tables_number 1
_symmetry_space_group_name_Hall 'P 1'
_cell_length_a 4.665
_cell_length_b 4.665
_cell_length_c 11.531
_cell_angle_alpha 90.00
_cell_angle_beta 90.00
_cell_angle_gamma 120.00
loop_
_atom_site_label
_atom_site_fract_x
_atom_site_fract_y
_atom_site_fract_z
_atom_site_occupancy
Li1 0.333 0.667 0.167 1
Li2 0.667 0.333 0.833 1
Sc1 0.000 0.000 0.254 1
Sc2 0.000 0.000 0.746 1
Sc3 0.333 0.667 0.422 1
Sc4 0.333 0.667 0.919 1
Sc5 0.667 0.333 0.081 1
Sc6 0.667 0.333 0.578 1
Pt1 0.000 0.000 0.000 1
Pt2 0.000 0.000 0.500 1
Pt3 0.333 0.667 0.682 1
Pt4 0.667 0.333 0.318 1



# MgCuAg14 | Alexandria via LeMat-Bulk | PBE-GGA | relaxed
# ΔE_f (kJ/mol of formula units): 0
data_MgCuAg14
_symmetry_space_group_name_H-M 'P 1'
_symmetry_Int_Tables_number 1
_symmetry_space_group_name_Hall 'P 1'
_cell_length_a 9.459
_cell_length_b 5.880
_cell_length_c 5.880
_cell_angle_alpha 60.29
_cell_angle_beta 90.00
_cell_angle_gamma 90.00
loop_
_atom_site_label
_atom_site_fract_x
_atom_site_fract_y
_atom_site_fract_z
_atom_site_occupancy
Mg1 0.000 0.000 0.000 1
Cu1 0.000 0.502 0.502 1
Ag1 0.000 0.503 0.999 1
Ag2 0.000 0.999 0.503 1
Ag3 0.244 0.334 0.830 1
Ag4 0.244 0.335 0.335 1
Ag5 0.244 0.830 0.334 1
Ag6 0.251 0.834 0.834 1
Ag7 0.500 0.166 0.166 1
Ag8 0.500 0.167 0.665 1
Ag9 0.500 0.665 0.167 1
Ag10 0.500 0.665 0.665 1
Ag11 0.749 0.834 0.834 1
Ag12 0.756 0.334 0.830 1
Ag13 0.756 0.335 0.335 1
Ag14 0.756 0.830 0.334 1



# Pm5Ge5Pt2 | Alexandria via LeMat-Bulk | PBE-GGA | relaxed
# ΔE_f (kJ/mol of formula units): -913
data_Pm5Ge5Pt2
_symmetry_space_group_name_H-M 'P 1'
_symmetry_Int_Tables_number 1
_symmetry_space_group_name_Hall 'P 1'
_cell_length_a 6.266
_cell_length_b 6.266
_cell_length_c 11.638
_cell_angle_alpha 110.57
_cell_angle_beta 110.57
_cell_angle_gamma 40.63
loop_
_atom_site_label
_atom_site_fract_x
_atom_site_fract_y
_atom_site_fract_z
_atom_site_occupancy
Pm1 0.000 0.000 0.000 1
Pm2 0.342 0.342 0.500 1
Pm3 0.379 0.379 0.226 1
Pm4 0.621 0.621 0.774 1
Pm5 0.658 0.658 0.500 1
Ge1 0.000 0.000 0.500 1
Ge2 0.093 0.093 0.284 1
Ge3 0.291 0.291 0.954 1
Ge4 0.709 0.709 0.046 1
Ge5 0.907 0.907 0.716 1
Pt1 0.315 0.315 0.750 1
Pt2 0.685 0.685 0.250 1